Material: V2CdGaO
Method: DFT, PBE+U
State: optimized geometry

Results
electronic total energy = -3.859 eV per atom
distance to the lowest polymorph of the same formula = 1008 meV/atom
volume = 103.43 Å³ per cell

```
V2CdGaO
1.0
5.250 0.000 0.000
0.000 5.250 0.000
0.000 0.000 3.753
V Cd Ga O
2 1 1 1
direct
0.000 0.500 0.000
0.500 0.000 0.000
0.000 0.000 0.500
0.500 0.500 0.000
0.500 0.500 0.500
```